1.
VASP calculation (PBE-GGA) on a relaxed Ca2LaPuS4 crystal.

Properties
**Energy relative to the elements, uncorrected**: -1.99 eV/atom
**E**: -55.73 eV per cell
**SG**: P2/m, No. 10
**Calculated volume**: 23.645 Å³/atom

Cell lengths 4.0502, 7.0151, 7.0602 Å; angles 109.44, 90.00, 90.00 degrees
Site moments in Bohr magnetons follow the coordinates.
Atoms (fractional coordinates):
S  0.5000  0.2445  0.2511  -0.05
S  0.5000  0.7555  0.7489  -0.05
S  0.0000  0.2429  0.7430  -0.02
Ca  0.0000  0.5000  0.5000  0.02
La  0.5000  0.5000  0.0000  0.09
Ca  0.5000  0.0000  0.5000  0.01
Pu  0.0000  0.0000  0.0000  5.42
S  0.0000  0.7571  0.2570  -0.02


2.
VASP calculation (PBE-GGA) on a relaxed Ti2CdCu crystal.

Properties
**E**: -20.82 eV per cell
**SG**: P4/mmm, No. 123
**Energy of formation from the pure elements**: -0.0039 eV per atom
**Calculated volume**: 16.793 Å³/atom

Cell lengths 2.8717, 2.8717, 8.1452 Å; angles 90.00, 90.00, 90.00 degrees
Site moments in Bohr magnetons follow the coordinates.
Atoms (fractional coordinates):
Cu  0.5000  0.5000  0.0000  0.08
Cd  0.5000  0.5000  0.5000  0.03
Ti  0.0000  0.0000  0.2185  0.79
Ti  0.0000  0.0000  0.7815  0.79


3.
VASP calculation (PBE-GGA) on a relaxed CaTcNO2 crystal.

Properties
**Energy relative to the elements, uncorrected**: 0.76 eV/atom
**E**: -26.83 eV per cell
**SG**: P4/mmm, No. 123
**Calculated volume**: 16.051 Å³/atom

Cell lengths 4.2674, 4.4069, 4.2674 Å; angles 90.00, 90.00, 90.00 degrees
Site moments in Bohr magnetons follow the coordinates.
Atoms (fractional coordinates):
Tc  0.5000  0.5000  0.5000  3.98
O  0.0000  0.0000  0.5000  -0.42
Ca  0.0000  0.0000  0.0000  -0.03
O  0.5000  0.0000  0.0000  -0.32
N  0.0000  0.5000  0.0000  -1.11


4.
VASP calculation (PBE-GGA) on a relaxed K2VOs crystal.

Properties
**E**: -14.32 eV per cell
**SG**: Fm-3m, No. 225
**Energy of formation from the pure elements**: 2.0568 eV per atom
**Distance to the lowest polymorph of the same formula**: 694 meV per atom
**Calculated volume**: 27.993 Å³/atom

Cell lengths 5.4101, 5.4101, 5.4101 Å; angles 60.00, 60.00, 60.00 degrees
Site moments in Bohr magnetons follow the coordinates.
Atoms (fractional coordinates):
V  0.0000  0.0000  0.0000  3.18
K  0.2500  0.2500  0.2500  0.04
K  0.7500  0.7500  0.7500  0.04
Os  0.5000  0.5000  0.5000  -1.94


5.
VASP calculation (PBE-GGA) on a relaxed Tm4TlZn crystal.

Properties
**E**: -21.52 eV per cell
**SG**: P4/mmm, No. 123
**Energy of formation from the pure elements**: 0.0008 eV per atom
**Distance to the lowest polymorph of the same formula**: 216 meV per atom
**Calculated volume**: 29.485 Å³/atom

Cell lengths 4.9705, 4.9708, 7.1603 Å; angles 89.99, 89.99, 90.00 degrees
Atoms (fractional coordinates):
Tm  0.0014  0.4974  0.7328
Tl  0.5013  0.4973  0.9981
Tm  0.5013  0.9971  0.2635
Tm  0.0012  0.4971  0.2635
Tm  0.5014  0.9975  0.7328
Zn  0.0013  0.9973  0.4981


6.
VASP calculation (PBE-GGA) on a relaxed LaHfH3 crystal.

Properties
**E**: -22.97 eV per cell
**SG**: Pm-3m, No. 221
**Distance to the lowest polymorph of the same formula**: 632 meV per atom
**Calculated volume**: 15.043 Å³/atom

Cell lengths 4.2212, 4.2212, 4.2212 Å; angles 90.00, 90.00, 90.00 degrees
Atoms (fractional coordinates):
Hf  0.5000  0.5000  0.5000
H  0.0000  0.5000  0.0000
H  0.0000  0.0000  0.5000
La  0.0000  0.0000  0.0000
H  0.5000  0.0000  0.0000


7.
VASP calculation (PBE-GGA) on a relaxed Ta2VMo crystal.

Properties
**E**: -44.01 eV per cell
**SG**: Fm-3m, No. 225
**Energy of formation from the pure elements**: -0.0885 eV per atom
**Distance to the lowest polymorph of the same formula**: 3 meV per atom
**Calculated volume**: 16.476 Å³/atom

Cell lengths 4.5339, 4.5339, 4.5339 Å; angles 60.00, 60.00, 60.00 degrees
Atoms (fractional coordinates):
Mo  0.5000  0.5000  0.5000
Ta  0.2500  0.2500  0.2500
V  0.0000  0.0000  0.0000
Ta  0.7500  0.7500  0.7500


8.
VASP calculation (PBE-GGA) on a relaxed YAgAu3 crystal.

Properties
**E**: -18.16 eV per cell
**SG**: Pm-3m, No. 221
**Energy of formation from the pure elements**: 0.1969 eV per atom
**Distance to the lowest polymorph of the same formula**: 714 meV per atom
**Calculated volume**: 25.704 Å³/atom

Cell lengths 5.0465, 5.0465, 5.0465 Å; angles 90.00, 90.00, 90.00 degrees
Atoms (fractional coordinates):
Au  0.0000  0.0000  0.5000
Au  0.0000  0.5000  0.0000
Y  0.5000  0.5000  0.5000
Au  0.5000  0.0000  0.0000
Ag  0.0000  0.0000  0.0000


9.
VASP calculation (PBE-GGA) on a relaxed MnTc3P crystal.

Properties
**E**: -38.71 eV per cell
**SG**: Pm-3m, No. 221
**Energy of formation from the pure elements**: 1.3938 eV per atom
**Calculated volume**: 16.987 Å³/atom

Cell lengths 4.3957, 4.3957, 4.3957 Å; angles 90.00, 90.00, 90.00 degrees
Site moments in Bohr magnetons follow the coordinates.
Atoms (fractional coordinates):
P  0.5000  0.5000  0.5000  -0.04
Tc  0.0000  0.5000  0.0000  0.35
Tc  0.0000  0.0000  0.5000  0.33
Tc  0.5000  0.0000  0.0000  0.32
Mn  0.0000  0.0000  0.0000  -0.14


10.
VASP calculation (PBE-GGA) on a relaxed ScCdGe2 crystal.

Properties
**E**: -33.35 eV per cell
**SG**: I-42d, No. 122
**Energy of formation from the pure elements**: -0.0490 eV per atom
**Calculated volume**: 21.140 Å³/atom

Cell lengths 7.4906, 7.4906, 6.0942 Å; angles 52.08, 52.08, 90.00 degrees
Atoms (fractional coordinates):
Sc  0.2500  0.7500  0.5000
Ge  0.3750  0.3628  0.7500
Ge  0.6372  0.1250  0.2500
Ge  0.1128  0.6250  0.2500
Cd  0.7500  0.2500  0.5000
Ge  0.8750  0.8872  0.7500
Cd  0.0000  0.0000  0.0000
Sc  0.5000  0.5000  0.0000


11.
VASP calculation (PBE-GGA) on a relaxed Ni4SbPt crystal.

Properties
**Energy relative to the elements, uncorrected**: 0.02 eV/atom
**E**: -33.18 eV per cell
**SG**: F-43m, No. 216
**Distance to the lowest polymorph of the same formula**: 32 meV per atom
**Calculated volume**: 13.280 Å³/atom

Cell lengths 4.8300, 4.8300, 4.8300 Å; angles 60.00, 60.00, 60.00 degrees
Site moments in Bohr magnetons follow the coordinates.
Atoms (fractional coordinates):
Sb  0.0000  0.0000  0.0000  0.00
Ni  0.8732  0.3756  0.3756  0.24
Ni  0.3756  0.3756  0.8732  0.24
Ni  0.3756  0.3756  0.3756  0.24
Ni  0.3756  0.8732  0.3756  0.24
Pt  0.7500  0.7500  0.7500  0.05


12.
VASP calculation (PBE-GGA) on a relaxed BeTcP2 crystal.

Properties
**E**: -24.95 eV per cell
**SG**: P4mm, No. 99
**Energy of formation from the pure elements**: -0.0091 eV per atom
**Calculated volume**: 12.638 Å³/atom

Cell lengths 3.1599, 3.1599, 5.0628 Å; angles 90.00, 90.00, 90.00 degrees
Atoms (fractional coordinates):
Tc  0.0000  0.0000  0.4631
P  0.0000  0.0000  0.9453
P  0.5000  0.5000  0.2873
Be  0.5000  0.5000  0.8043


13.
VASP calculation (PBE-GGA) on a relaxed CaLa3Al8 crystal.

Properties
**E**: -52.20 eV per cell
**SG**: R3m, No. 160
**Energy of formation from the pure elements**: -0.4561 eV per atom
**Distance to the lowest polymorph of the same formula**: 0 meV per atom
**Calculated volume**: 22.205 Å³/atom

Cell lengths 5.7223, 5.7223, 9.9604 Å; angles 73.31, 73.31, 60.00 degrees
Atoms (fractional coordinates):
La  0.9990  0.9990  0.0029
Al  0.4373  0.4373  0.1875
Al  0.4371  0.9379  0.6870
Al  0.6871  0.6871  0.9386
Al  0.4373  0.9379  0.1875
Al  0.1877  0.1877  0.4368
Al  0.9379  0.4373  0.1875
La  0.3745  0.3745  0.8764
Ca  0.8752  0.8752  0.3744
Al  0.9379  0.9379  0.6870
Al  0.9379  0.4371  0.6870
La  0.5009  0.5009  0.4974


14.
VASP calculation (PBE-GGA) on a relaxed Mn4ZnSe crystal.

Properties
**Energy relative to the elements, uncorrected**: 0.45 eV/atom
**E**: -38.71 eV per cell
**SG**: F-43m, No. 216
**Calculated volume**: 13.349 Å³/atom

Cell lengths 4.8384, 4.8384, 4.8384 Å; angles 60.00, 60.00, 60.00 degrees
Site moments in Bohr magnetons follow the coordinates.
Atoms (fractional coordinates):
Se  0.2500  0.2500  0.2500  -0.06
Zn  0.0000  0.0000  0.0000  -0.07
Mn  0.6259  0.6259  0.6259  1.61
Mn  0.6259  0.6259  0.1224  1.61
Mn  0.1224  0.6259  0.6259  1.61
Mn  0.6259  0.1224  0.6259  1.61


15.
VASP calculation (PBE-GGA) on a relaxed InBiN2F crystal.

Properties
**Energy relative to the elements, uncorrected**: 0.33 eV/atom
**E**: -23.47 eV per cell
**SG**: P4/mmm, No. 123
**Distance to the lowest polymorph of the same formula**: 0 meV per atom
**Calculated volume**: 15.244 Å³/atom

Cell lengths 4.2756, 4.2756, 4.1695 Å; angles 90.00, 90.00, 90.00 degrees
Atoms (fractional coordinates):
N  0.5000  0.0000  0.0000
In  0.0000  0.0000  0.0000
Bi  0.5000  0.5000  0.5000
N  0.0000  0.5000  0.0000
F  0.0000  0.0000  0.5000


16.
VASP calculation (PBE-GGA) on a relaxed K3Pu2AgO9 crystal.

Properties
**Energy relative to the elements, uncorrected**: -2.00 eV/atom
**E**: -109.37 eV per cell
**SG**: P-3m1, No. 164
**Calculated volume**: 15.884 Å³/atom

Cell lengths 6.0566, 6.0566, 7.4999 Å; angles 90.00, 90.00, 120.00 degrees
Site moments in Bohr magnetons follow the coordinates.
Atoms (fractional coordinates):
Pu  0.6667  0.3333  0.8385  1.51
K  0.6667  0.3333  0.3508  0.00
O  0.5000  0.0000  0.0000  -0.07
K  0.0000  0.0000  0.0000  0.00
Ag  0.0000  0.0000  0.5000  -0.01
O  0.0000  0.5000  0.0000  -0.07
O  0.1812  0.3624  0.3104  -0.09
O  0.8188  0.6376  0.6896  -0.09
Pu  0.3333  0.6667  0.1615  1.51
O  0.3624  0.1812  0.6896  -0.09
O  0.6376  0.8188  0.3104  -0.09
O  0.8188  0.1812  0.6896  -0.09
K  0.3333  0.6667  0.6492  0.00
O  0.1812  0.8188  0.3104  -0.09
O  0.5000  0.5000  0.0000  -0.07


17.
VASP calculation (PBE-GGA) on a relaxed LiCoGePb2 crystal.

Properties
**E**: -17.63 eV per cell
**SG**: P4/mmm, No. 123
**Energy of formation from the pure elements**: 0.6848 eV per atom
**Calculated volume**: 22.042 Å³/atom

Cell lengths 5.0476, 4.3256, 5.0476 Å; angles 90.00, 90.00, 90.00 degrees
Site moments in Bohr magnetons follow the coordinates.
Atoms (fractional coordinates):
Pb  0.5000  0.0000  0.0000  0.00
Co  0.0000  0.5000  0.0000  1.42
Pb  0.0000  0.0000  0.5000  -0.01
Ge  0.5000  0.5000  0.5000  -0.02
Li  0.0000  0.0000  0.0000  -0.03


18.
VASP calculation (PBE-GGA) on a relaxed TiRhI2N crystal.

Properties
**Energy relative to the elements, uncorrected**: 0.36 eV/atom
**E**: -24.87 eV per cell
**SG**: P4/mmm, No. 123
**Distance to the lowest polymorph of the same formula**: 0 meV per atom
**Calculated volume**: 23.320 Å³/atom

Cell lengths 5.6105, 5.6105, 3.7043 Å; angles 90.00, 90.00, 90.00 degrees
Site moments in Bohr magnetons follow the coordinates.
Atoms (fractional coordinates):
Rh  0.5000  0.5000  0.5000  1.38
I  0.5000  0.0000  0.0000  0.10
Ti  0.0000  0.0000  0.0000  0.00
N  0.0000  0.0000  0.5000  -0.01
I  0.0000  0.5000  0.0000  0.10


19.
VASP calculation (PBE-GGA) on a relaxed Ho2TmIn5 crystal.

Properties
**E**: -30.49 eV per cell
**SG**: I4mm, No. 107
**Energy of formation from the pure elements**: -0.3967 eV per atom
**Calculated volume**: 25.669 Å³/atom

Cell lengths 6.4782, 6.4782, 6.4782 Å; angles 100.29, 114.25, 114.25 degrees
Atoms (fractional coordinates):
In  0.4365  0.6926  0.6926
In  0.0000  0.2560  0.6926
Ho  0.5000  0.7322  0.2322
In  0.0000  0.6926  0.2560
In  0.0000  0.7630  0.7630
In  0.5635  0.2560  0.2560
Tm  0.0000  0.1533  0.1533
Ho  0.5000  0.2322  0.7322


20.
VASP calculation (PBE-GGA) on a relaxed Si2NiAg crystal.

Properties
**Energy relative to the elements, uncorrected**: 0.04 eV/atom
**E**: -19.31 eV per cell
**SG**: P4/mmm, No. 123
**Distance to the lowest polymorph of the same formula**: 57 meV per atom
**Calculated volume**: 14.384 Å³/atom

Cell lengths 2.7297, 2.7297, 7.7214 Å; angles 90.00, 90.00, 90.00 degrees
Atoms (fractional coordinates):
Ni  0.5000  0.5000  0.7500
Ag  0.5000  0.5000  0.2500
Si  0.0000  0.0000  0.9493
Si  0.0000  0.0000  0.5507